Here is an optimized crystal structure of BaBi2Rh from Alexandria. Energies are from PBE-GGA.

```
4
Lattice="0.0000 3.8339 3.8339 3.8339 0.0000 3.8339 3.8339 3.8339 0.0000" Properties=species:S:1:pos:R:3 pbc="T T T"
Bi 1.9170 1.9170 1.9170
Ba 3.8339 3.8339 3.8339
Rh 0.0000 0.0000 0.0000
Bi 5.7509 5.7509 5.7509
```

Properties
Crystal system: cubic
Total energy: -17.2 eV/f.u.
Energy of formation from the pure elements: -0.053 eV/atom